Record 1
First-principles (GGA-PBE) data for an optimized crystal structure of SrSc3Pd, as listed in Alexandria via LeMat-Bulk.

a = 4.982 Å, b = 4.982 Å, c = 4.982 Å
α = 90.00°, β = 90.00°, γ = 90.00°
Fractional positions:
1 Sc 0.000 0.500 0.000
2 Sc 0.000 0.000 0.500
3 Sc 0.500 0.000 0.000
4 Sr 0.000 0.000 0.000
5 Pd 0.500 0.500 0.500

Crystal system: cubic
Energy of formation in meV per atom: 1354
Space group: No. 221
Energy above the most stable polymorph in this dataset in meV/atom: 1479.7
Magnetization in μB/cell: 0.00

Record 2
First-principles (GGA-PBE) data for an optimized crystal structure of Sr2ScPd4, as listed in Alexandria via LeMat-Bulk.

a = 4.898 Å, b = 4.898 Å, c = 8.604 Å
α = 73.46°, β = 73.46°, γ = 90.00°
Fractional positions:
1 Sc 0.000 0.000 0.000
2 Sr 0.645 0.645 0.711
3 Sr 0.355 0.355 0.289
4 Pd 0.842 0.842 0.317
5 Pd 0.158 0.158 0.683
6 Pd 0.000 0.500 0.000
7 Pd 0.500 0.000 0.000

Crystal system: tetragonal
Energy of formation in meV per atom: -296
Space group: No. 139
Magnetization in μB/cell: 0.00

Record 3
First-principles (GGA-PBE) data for an optimized crystal structure of SrSc2Pd2, as listed in Alexandria via LeMat-Bulk.

a = 4.936 Å, b = 4.936 Å, c = 6.350 Å
α = 67.13°, β = 67.13°, γ = 90.00°
Last column: magnetic moment on the atom in μB.
Fractional positions:
1 Sc 0.344 0.344 0.312  0.19
2 Sc 0.656 0.656 0.688  0.19
3 Sr 0.000 0.000 0.000  0.01
4 Pd 0.750 0.250 0.500  0.00
5 Pd 0.250 0.750 0.500  0.00

Crystal system: tetragonal
Energy of formation in meV per atom: -432
Space group: No. 139
Energy above the most stable polymorph in this dataset in meV/atom: 209.3
Magnetization in μB/cell: 0.68

Record 4
First-principles (GGA-PBE) data for an optimized crystal structure of SrScPd, as listed in Alexandria via LeMat-Bulk.

a = 4.543 Å, b = 4.543 Å, c = 8.190 Å
α = 90.00°, β = 90.00°, γ = 90.00°
Fractional positions:
1 Sr 0.000 0.500 0.851
2 Sr 0.500 0.000 0.149
3 Pd 0.000 0.500 0.308
4 Pd 0.500 0.000 0.692
5 Sc 0.500 0.500 0.500
6 Sc 0.000 0.000 0.500

Crystal system: tetragonal
Energy of formation in meV per atom: -552
Space group: No. 129
Energy above the most stable polymorph in this dataset in meV/atom: 0.0
Magnetization in μB/cell: 0.00

Record 5
First-principles (GGA-PBE) data for an optimized crystal structure of Sr2ScPd, as listed in Alexandria via LeMat-Bulk.

a = 11.287 Å, b = 11.287 Å, c = 8.376 Å
α = 47.64°, β = 47.64°, γ = 90.00°
Fractional positions:
1 Sc 0.500 0.500 0.000
2 Sc 0.250 0.750 0.500
3 Sr 0.777 0.125 0.250
4 Sr 0.973 0.625 0.250
5 Sr 0.375 0.223 0.750
6 Sr 0.875 0.027 0.750
7 Pd 0.000 0.000 0.000
8 Pd 0.750 0.250 0.500

Crystal system: tetragonal
Energy of formation in meV per atom: -36
Space group: No. 122
Energy above the most stable polymorph in this dataset in meV/atom: 0.0
Magnetization in μB/cell: 0.00

Record 6
First-principles (GGA-PBE) data for an optimized crystal structure of SrSc3Pd, as listed in Alexandria via LeMat-Bulk.

a = 5.236 Å, b = 5.236 Å, c = 5.236 Å
α = 90.00°, β = 90.00°, γ = 90.00°
Fractional positions:
1 Sc 0.000 0.500 0.000
2 Sc 0.000 0.000 0.500
3 Sc 0.500 0.000 0.000
4 Sr 0.500 0.500 0.500
5 Pd 0.000 0.000 0.000

Crystal system: cubic
Energy of formation in meV per atom: -125
Space group: No. 221
Energy above the most stable polymorph in this dataset in meV/atom: 0.0
Magnetization in μB/cell: 0.00

Record 7
First-principles (GGA-PBE) data for an optimized crystal structure of Sr2ScPd, as listed in Alexandria via LeMat-Bulk.

a = 5.571 Å, b = 5.571 Å, c = 5.571 Å
α = 60.00°, β = 60.00°, γ = 60.00°
Fractional positions:
1 Sc 0.000 0.000 0.000
2 Sr 0.250 0.250 0.250
3 Sr 0.750 0.750 0.750
4 Pd 0.500 0.500 0.500

Crystal system: cubic
Energy of formation in meV per atom: 173
Space group: No. 225
Energy above the most stable polymorph in this dataset in meV/atom: 208.5
Magnetization in μB/cell: 0.00

Record 8
First-principles (GGA-PBE) data for an optimized crystal structure of SrScPd, as listed in Alexandria via LeMat-Bulk.

a = 3.550 Å, b = 3.550 Å, c = 6.839 Å
α = 105.04°, β = 105.04°, γ = 90.00°
Fractional positions:
1 Sc 0.714 0.714 0.427
2 Sr 0.981 0.981 0.962
3 Pd 0.305 0.305 0.610

Crystal system: tetragonal
Energy of formation in meV per atom: -406
Space group: No. 107
Energy above the most stable polymorph in this dataset in meV/atom: 145.9
Magnetization in μB/cell: 0.00